{
  "formula": "ReWN2F",
  "functional": "PBE+U",
  "state": "relaxed",
  "cell": [[3.962, 0.000, 0.000], [0.000, 3.962, 0.000], [0.000, 0.000, 4.055]],
  "species": ["Re", "W", "N", "N", "F"],
  "fractional_positions": [[0.000, 0.000, 0.000], [0.500, 0.500, 0.500], [0.000, 0.500, 0.000], [0.500, 0.000, 0.000], [0.000, 0.000, 0.500]],
  "polymorph_energy_ev_per_atom": 0.000,
  "m_tot_mub_per_fu": 3.4,
  "space_group": "P4/mmm (123)",
  "n_ef_per_ev_atom": 0.570
}